# 1
# ZrPRu

An optimized crystal structure of ZrPRu (GGA-PBE, Alexandria).

* M_tot: 0.00 μB/f.u.
* ΔH_f (0 K): -0.85 eV/atom

abc: 4.167 4.167 3.192
angles: 90.00 90.00 120.00
Fractional coordinates of all 3 atoms:
Zr 0.333 0.667 0.500
P 0.000 0.000 0.000
Ru 0.667 0.333 0.000



# 2
# ZrPRu

An optimized crystal structure of ZrPRu (GGA-PBE, Alexandria).

* M_tot: 0.00 μB/f.u.
* ΔH_f (0 K): -0.38 eV/atom

abc: 4.682 4.682 4.682
angles: 139.48 130.74 65.62
Fractional coordinates of all 3 atoms:
Ru 0.678 0.678 0.000
P 0.993 0.993 0.000
Zr 0.329 0.329 0.000



# 3
# PS4

An optimized crystal structure of PS4 (GGA-PBE, Alexandria).

* M_tot: 0.00 μB/f.u.
* formation energy without anion corrections: 341 meV per atom

abc: 6.264 10.952 8.255
angles: 29.02 90.00 90.00
Fractional coordinates of all 10 atoms:
S 0.739 0.438 0.271
S 0.261 0.562 0.729
S 0.261 0.439 0.271
S 0.739 0.561 0.729
S 0.761 0.061 0.729
P 0.500 0.500 0.000
S 0.761 0.938 0.271
S 0.239 0.062 0.729
S 0.239 0.939 0.271
P 0.000 0.000 0.000



# 4
# P2S3

An optimized crystal structure of P2S3 (GGA-PBE, Alexandria).

* M_tot: 0.00 μB/f.u.
* formation energy without anion corrections: 255 meV per atom

abc: 7.052 12.304 2.447
angles: 90.00 90.00 90.00
Fractional coordinates of all 10 atoms:
S 0.309 0.500 0.500
S 0.714 0.339 0.500
P 0.986 0.590 0.500
S 0.714 0.661 0.500
P 0.986 0.410 0.500
S 0.214 0.839 0.500
S 0.809 0.000 0.500
P 0.486 0.090 0.500
S 0.214 0.161 0.500
P 0.486 0.910 0.500



Listing energy for the structures above in their given order: -8.59 -8.13 -4.04 -4.39 eV per atom.